Record 1
La2TcAgMo: optimized geometry, PBE-GGA.

DFT total energy	-31.33	eV for the cell shown
energy of formation from the pure elements	0.51	eV per atom
size of the total moment	0.306	μB/atom

Lattice parameters (Å, degrees): 5.514 5.514 4.734 90.00 90.00 90.00
Fractional coordinates of all 5 atoms:
La  0.000  0.500  0.000
La  0.500  0.000  0.000
Tc  0.000  0.000  0.000
Ag  0.500  0.500  0.500
Mo  0.000  0.000  0.500

Record 2
Tl5Sb2Cl12: optimized geometry, PBE-GGA.

DFT total energy	-58.96	eV for the cell shown
formation energy without anion corrections	-880	meV per atom
size of the total moment	0.000	μB/atom

Lattice parameters (Å, degrees): 9.761 9.761 8.511 102.63 102.63 80.38
Fractional coordinates of all 19 atoms:
Tl  0.000  0.000  0.000
Tl  0.265  0.265  0.473
Tl  0.387  0.387  0.111
Tl  0.613  0.613  0.889
Tl  0.735  0.735  0.527
Sb  0.168  0.832  0.500
Sb  0.832  0.168  0.500
Cl  0.063  0.738  0.707
Cl  0.112  0.112  0.683
Cl  0.189  0.590  0.325
Cl  0.262  0.937  0.293
Cl  0.410  0.811  0.675
Cl  0.414  0.414  0.794
Cl  0.586  0.586  0.206
Cl  0.590  0.189  0.325
Cl  0.738  0.063  0.707
Cl  0.811  0.410  0.675
Cl  0.888  0.888  0.317
Cl  0.937  0.262  0.293

Record 3
Na2CaTiF8: optimized geometry, PBE-GGA.

DFT total energy	-67.43	eV for the cell shown
formation energy without anion corrections	-3327	meV per atom
size of the total moment	0.005	μB/atom

Lattice parameters (Å, degrees): 5.023 6.881 5.167 90.00 91.21 90.00
Fractional coordinates of all 12 atoms:
Na  0.000  0.248  0.000
Na  0.000  0.752  0.000
Ca  0.500  0.000  0.500
Ti  0.500  0.500  0.500
F  0.197  0.000  0.203
F  0.235  0.500  0.238
F  0.320  0.296  0.675
F  0.320  0.704  0.675
F  0.680  0.296  0.325
F  0.680  0.704  0.325
F  0.765  0.500  0.762
F  0.803  0.000  0.797